(1)
The following is a DFT calculation (PBE) of an optimized crystal structure of Pm4NdSe5.

a b c (Å): 11.138 11.138 11.138
angles (deg): 158.24 149.10 38.11
Atoms (fractional coordinates):
Pm1 0.100 0.100 0.000
Pm2 0.299 0.299 0.000
Pm3 0.701 0.701 0.000
Pm4 0.900 0.900 0.000
Nd1 0.500 0.500 0.000
Se1 0.000 0.500 0.500
Se2 0.200 0.700 0.500
Se3 0.399 0.899 0.500
Se4 0.601 0.101 0.500
Se5 0.800 0.300 0.500

Summary:
Density   7.07 Mg/m³
Energy   -5.95 eV/atom
Energy relative to the elements, uncorrected   -1.832 eV/atom
Polymorph energy (0 for the lowest one)   2 kJ/mol of formula units
Space-group type   Immm (71)
Magnetization   0.0 Bohr magnetons per cell

=====

(2)
The following is a DFT calculation (PBE) of an optimized crystal structure of PmNd3Se6.

a b c (Å): 7.727 7.727 7.338
angles (deg): 118.20 118.20 61.10
Atoms (fractional coordinates):
Pm1 0.000 0.000 0.000
Nd1 0.250 0.250 0.810
Nd2 0.500 0.500 0.500
Nd3 0.750 0.750 0.190
Se1 0.159 0.660 0.158
Se2 0.249 0.249 0.415
Se3 0.340 0.841 0.842
Se4 0.660 0.159 0.158
Se5 0.751 0.751 0.585
Se6 0.841 0.340 0.842

Summary:
Density   5.44 Mg/m³
Energy   -5.73 eV/atom
Energy relative to the elements, uncorrected   -1.731 eV/atom
Polymorph energy (0 for the lowest one)   133 kJ/mol of formula units
Space-group type   C2/m (12)
Magnetization   0.0 Bohr magnetons per cell

=====

(3)
The following is a DFT calculation (PBE) of an optimized crystal structure of Pm2Nd2Se3.

a b c (Å): 7.196 7.196 7.221
angles (deg): 99.62 99.62 33.43
Atoms (fractional coordinates):
Pm1 0.127 0.127 0.375
Pm2 0.873 0.873 0.625
Nd1 0.377 0.377 0.120
Nd2 0.623 0.623 0.880
Se1 0.247 0.247 0.748
Se2 0.500 0.500 0.500
Se3 0.753 0.753 0.252

Summary:
Density   6.68 Mg/m³
Energy   -5.75 eV/atom
Energy relative to the elements, uncorrected   -1.542 eV/atom
Space-group type   C2/m (12)
Magnetization   0.0 Bohr magnetons per cell

=====

Question: Look up the density of the third one.
Answer: 6.68 Mg/m³